Arrangement a

Crystalline FeNiNF2 at its relaxed geometry, computed with GGA-PBEsol.

abc: 3.758 3.758 3.712
angles: 90.00 90.00 90.00
Positions (direct):
N (0.000, 0.000, 0.500)
F (0.000, 0.500, 0.000)
F (0.500, 0.000, 0.000)
Fe (0.500, 0.500, 0.500)
Ni (0.000, 0.000, 0.000)

Summary:
Mass density ... 5.3 g cm⁻³
Space-group type ... P4/mmm
Magnetic moment ... 3.92 μB per formula unit

Arrangement b

Crystalline FeNiNF2 at its relaxed geometry, computed with GGA-PBEsol.

abc: 3.865 3.865 3.492
angles: 90.00 90.00 90.00
Positions (direct):
Ni (0.500, 0.500, 0.500)
F (0.500, 0.000, 0.000)
F (0.000, 0.500, 0.000)
N (0.000, 0.000, 0.500)
Fe (0.000, 0.000, 0.000)

Summary:
Mass density ... 5.3 g cm⁻³
Space-group type ... P4/mmm
Magnetic moment ... 2.30 μB per formula unit

Relative to the most stable structure, the computed energies are arrangement a 10.4; arrangement b 0.0, all in kJ/mol of atoms.

Arrangement a

Crystalline FeOsNF2 at its relaxed geometry, computed with GGA-PBEsol.

abc: 3.719 4.205 4.205
angles: 90.00 90.00 90.00
Positions (direct):
F (0.000, 0.000, 0.500)
F (0.000, 0.500, 0.000)
N (0.500, 0.000, 0.000)
Fe (0.500, 0.500, 0.500)
Os (0.000, 0.000, 0.000)

Summary:
Mass density ... 7.5 g cm⁻³
Space-group type ... P4/mmm
Magnetic moment ... 3.38 μB per formula unit

Arrangement b

Crystalline FeOsNF2 at its relaxed geometry, computed with GGA-PBEsol.

abc: 3.639 3.639 4.215
angles: 90.00 90.00 90.00
Positions (direct):
Os (0.500, 0.500, 0.500)
F (0.000, 0.500, 0.000)
F (0.500, 0.000, 0.000)
N (0.000, 0.000, 0.500)
Fe (0.000, 0.000, 0.000)

Summary:
Mass density ... 8.9 g cm⁻³
Space-group type ... P4/mmm
Magnetic moment ... 6.23 μB per formula unit

Relative to the most stable structure, the computed energies are arrangement a 0.0; arrangement b 29.6, all in kJ/mol of atoms.

Arrangement a

Crystalline Fe4O5F3 at its relaxed geometry, computed with GGA-PBEsol.

abc: 5.349 5.349 5.349
angles: 78.15 69.82 116.72
Positions (direct):
F (0.000, 0.072, 0.928)
F (0.500, 0.521, 0.979)
F (0.000, 0.453, 0.547)
Fe (0.000, 0.756, 0.244)
Fe (0.728, 0.988, 0.740)
Fe (0.272, 0.533, 0.740)
Fe (0.500, 0.229, 0.271)
O (0.445, 0.994, 0.052)
O (0.555, 0.503, 0.452)
O (0.500, 0.957, 0.543)
O (0.045, 0.994, 0.452)
O (0.955, 0.503, 0.052)

Summary:
Mass density ... 5.2 g cm⁻³
Space-group type ... Imm2
Magnetic moment ... 11.12 μB per formula unit

Arrangement b

Crystalline Fe4O5F3 at its relaxed geometry, computed with GGA-PBEsol.

abc: 4.568 5.388 5.388
angles: 116.69 96.95 83.05
Positions (direct):
Fe (0.460, 0.983, 0.017)
Fe (0.011, 0.521, 0.009)
Fe (0.011, 0.991, 0.479)
Fe (0.502, 0.500, 0.500)
O (0.697, 0.146, 0.341)
O (0.299, 0.347, 0.154)
O (0.299, 0.846, 0.653)
O (0.196, 0.841, 0.159)
O (0.697, 0.659, 0.854)
F (0.830, 0.168, 0.832)
F (0.773, 0.637, 0.363)
F (0.226, 0.361, 0.639)

Summary:
Mass density ... 5.1 g cm⁻³
Space-group type ... Cm
Magnetic moment ... 5.03 μB per formula unit

Arrangement c

Crystalline Fe4O5F3 at its relaxed geometry, computed with GGA-PBEsol.

abc: 4.568 4.568 5.744
angles: 90.00 90.00 96.81
Positions (direct):
Fe (0.011, 0.989, 0.267)
Fe (0.470, 0.530, 0.500)
Fe (0.509, 0.491, 0.000)
Fe (0.011, 0.989, 0.733)
O (0.302, 0.304, 0.749)
O (0.696, 0.698, 0.749)
O (0.696, 0.698, 0.251)
O (0.302, 0.304, 0.251)
O (0.199, 0.801, 0.500)
F (0.206, 0.794, 0.000)
F (0.789, 0.211, 0.500)
F (0.811, 0.189, 0.000)

Summary:
Mass density ... 5.0 g cm⁻³
Space-group type ... Amm2
Magnetic moment ... 7.64 μB per formula unit

Relative to the most stable structure, the computed energies are arrangement a 4.7; arrangement b 0.9; arrangement c 0.0, all in kJ/mol of atoms.

Arrangement a

Crystalline Fe6O5F7 at its relaxed geometry, computed with GGA-PBEsol.

abc: 5.562 5.562 7.650
angles: 67.14 67.14 69.09
Positions (direct):
Fe (0.323, 0.976, 0.349)
Fe (0.996, 0.639, 0.172)
Fe (0.024, 0.677, 0.651)
Fe (0.361, 0.004, 0.828)
Fe (0.635, 0.365, 0.000)
Fe (0.669, 0.331, 0.500)
F (0.095, 0.757, 0.356)
F (0.433, 0.104, 0.036)
F (0.243, 0.905, 0.644)
F (0.775, 0.441, 0.707)
F (0.559, 0.225, 0.293)
F (0.956, 0.044, 0.000)
F (0.896, 0.567, 0.964)
O (0.025, 0.281, 0.340)
O (0.719, 0.975, 0.660)
O (0.348, 0.652, 0.000)
O (0.628, 0.684, 0.336)
O (0.316, 0.372, 0.664)

Summary:
Mass density ... 4.7 g cm⁻³
Space-group type ... C2
Magnetic moment ... 15.62 μB per formula unit

Arrangement b

Crystalline Fe6O5F7 at its relaxed geometry, computed with GGA-PBEsol.

abc: 4.689 4.689 8.849
angles: 90.00 90.00 96.67
Positions (direct):
O (0.700, 0.700, 0.166)
O (0.293, 0.293, 0.837)
O (0.293, 0.293, 0.163)
O (0.318, 0.318, 0.500)
O (0.700, 0.700, 0.834)
F (0.209, 0.787, 0.000)
F (0.710, 0.710, 0.500)
F (0.199, 0.805, 0.664)
F (0.787, 0.209, 0.000)
F (0.805, 0.199, 0.664)
F (0.199, 0.805, 0.336)
F (0.805, 0.199, 0.336)
Fe (0.030, 0.030, 0.500)
Fe (0.486, 0.486, 0.323)
Fe (0.992, 0.992, 0.846)
Fe (0.992, 0.992, 0.154)
Fe (0.498, 0.498, 0.000)
Fe (0.486, 0.486, 0.677)

Summary:
Mass density ... 4.7 g cm⁻³
Space-group type ... Amm2
Magnetic moment ... 7.46 μB per formula unit

Relative to the most stable structure, the computed energies are arrangement a 2.7; arrangement b 0.0, all in kJ/mol of atoms.

Arrangement a

Crystalline Fe4OF7 at its relaxed geometry, computed with GGA-PBEsol.

abc: 4.848 4.848 5.942
angles: 90.00 90.00 91.31
Positions (direct):
F (0.709, 0.297, 0.244)
F (0.297, 0.709, 0.244)
F (0.709, 0.297, 0.756)
F (0.204, 0.204, 0.000)
F (0.807, 0.807, 0.000)
F (0.775, 0.775, 0.500)
F (0.297, 0.709, 0.756)
Fe (0.478, 0.478, 0.500)
Fe (0.007, 0.007, 0.726)
Fe (0.503, 0.503, 0.000)
Fe (0.007, 0.007, 0.274)
O (0.206, 0.206, 0.500)

Summary:
Mass density ... 4.4 g cm⁻³
Space-group type ... Amm2
Magnetic moment ... 17.01 μB per formula unit

Arrangement b

Crystalline Fe4OF7 at its relaxed geometry, computed with GGA-PBEsol.

abc: 7.587 5.785 7.733
angles: 90.00 119.38 90.00
Positions (direct):
F (0.135, 0.919, 0.903)
F (0.677, 0.428, 0.354)
F (0.232, 0.419, 0.097)
F (0.893, 0.037, 0.297)
F (0.107, 0.537, 0.703)
F (0.758, 0.865, 0.517)
F (0.323, 0.928, 0.646)
F (0.865, 0.419, 0.097)
F (0.119, 0.777, 0.237)
F (0.404, 0.037, 0.297)
F (0.881, 0.277, 0.763)
F (0.596, 0.537, 0.703)
F (0.242, 0.365, 0.483)
F (0.768, 0.919, 0.903)
Fe (0.590, 0.155, 0.179)
Fe (0.191, 0.230, 0.864)
Fe (0.190, 0.080, 0.381)
Fe (0.327, 0.730, 0.136)
Fe (0.410, 0.655, 0.821)
Fe (0.673, 0.230, 0.864)
Fe (0.810, 0.580, 0.619)
Fe (0.809, 0.730, 0.136)
O (0.462, 0.322, 0.924)
O (0.538, 0.822, 0.076)

Summary:
Mass density ... 4.2 g cm⁻³
Space-group type ... Cmc2_1
Magnetic moment ... 17.00 μB per formula unit

Relative to the most stable structure, the computed energies are arrangement a 0.0; arrangement b 13.3, all in kJ/mol of atoms.

Arrangement a

Crystalline Fe2OF3 at its relaxed geometry, computed with GGA-PBEsol.

abc: 5.654 5.654 7.571
angles: 69.53 69.53 71.08
Positions (direct):
Fe (0.032, 0.968, 0.000)
Fe (0.312, 0.364, 0.660)
Fe (0.332, 0.333, 0.162)
Fe (0.636, 0.688, 0.340)
Fe (0.667, 0.668, 0.838)
Fe (0.021, 0.979, 0.500)
F (0.721, 0.279, 0.000)
F (0.437, 0.428, 0.363)
F (0.098, 0.104, 0.699)
F (0.624, 0.051, 0.662)
F (0.949, 0.376, 0.338)
F (0.572, 0.563, 0.637)
F (0.238, 0.230, 0.962)
F (0.770, 0.762, 0.038)
F (0.896, 0.902, 0.301)
O (0.018, 0.640, 0.674)
O (0.360, 0.982, 0.326)
O (0.316, 0.684, 0.000)

Summary:
Mass density ... 4.4 g cm⁻³
Space-group type ... C2
Magnetic moment ... 9.01 μB per formula unit

Arrangement b

Crystalline Fe2OF3 at its relaxed geometry, computed with GGA-PBEsol.

abc: 4.693 4.693 11.922
angles: 90.00 90.00 93.13
Positions (direct):
O (0.317, 0.317, 0.753)
O (0.317, 0.317, 0.247)
O (0.697, 0.697, 0.000)
O (0.287, 0.287, 0.500)
F (0.793, 0.180, 0.116)
F (0.272, 0.272, 0.000)
F (0.201, 0.811, 0.615)
F (0.180, 0.793, 0.884)
F (0.710, 0.710, 0.500)
F (0.793, 0.180, 0.884)
F (0.811, 0.201, 0.385)
F (0.713, 0.713, 0.746)
F (0.713, 0.713, 0.254)
F (0.201, 0.811, 0.385)
F (0.811, 0.201, 0.615)
F (0.180, 0.793, 0.116)
Fe (0.478, 0.478, 0.381)
Fe (0.028, 0.028, 0.251)
Fe (0.016, 0.016, 0.500)
Fe (0.970, 0.970, 0.000)
Fe (0.503, 0.503, 0.881)
Fe (0.028, 0.028, 0.749)
Fe (0.503, 0.503, 0.119)
Fe (0.478, 0.478, 0.619)

Summary:
Mass density ... 4.7 g cm⁻³
Space-group type ... Amm2
Magnetic moment ... 6.10 μB per formula unit

Relative to the most stable structure, the computed energies are arrangement a 0.0; arrangement b 5.6, all in kJ/mol of atoms.

Arrangement a

Crystalline Fe6OF11 at its relaxed geometry, computed with GGA-PBEsol.

abc: 2.949 6.829 10.970
angles: 108.14 90.00 90.00
Positions (direct):
Fe (0.000, 0.165, 0.332)
Fe (0.000, 0.521, 0.000)
Fe (0.000, 0.833, 0.668)
Fe (0.500, 0.331, 0.666)
Fe (0.500, 0.982, 0.000)
Fe (0.500, 0.665, 0.334)
F (0.000, 0.588, 0.198)
F (0.500, 0.956, 0.334)
F (0.500, 0.622, 0.666)
F (0.500, 0.378, 0.342)
F (0.000, 0.390, 0.802)
F (0.000, 0.944, 0.859)
F (0.000, 0.261, 0.526)
F (0.000, 0.735, 0.474)
F (0.000, 0.085, 0.141)
F (0.500, 0.294, 0.000)
F (0.500, 0.036, 0.658)
O (0.500, 0.705, 0.000)

Summary:
Mass density ... 4.4 g cm⁻³
Space-group type ... Amm2
Magnetic moment ... 25.01 μB per formula unit

Arrangement b

Crystalline Fe6OF11 at its relaxed geometry, computed with GGA-PBEsol.

abc: 5.638 5.638 7.354
angles: 70.56 70.56 74.54
Positions (direct):
Fe (0.004, 0.004, 0.488)
Fe (0.332, 0.332, 0.178)
Fe (0.633, 0.633, 0.354)
Fe (0.673, 0.673, 0.840)
Fe (0.351, 0.351, 0.647)
Fe (0.004, 0.004, 0.997)
F (0.579, 0.579, 0.655)
F (0.024, 0.637, 0.682)
F (0.714, 0.317, 0.989)
F (0.637, 0.024, 0.682)
F (0.100, 0.100, 0.694)
F (0.887, 0.887, 0.303)
F (0.767, 0.767, 0.030)
F (0.369, 0.948, 0.322)
F (0.317, 0.714, 0.989)
F (0.948, 0.369, 0.322)
F (0.244, 0.244, 0.960)
O (0.416, 0.416, 0.368)

Summary:
Mass density ... 4.5 g cm⁻³
Space-group type ... Cm
Magnetic moment ... 21.01 μB per formula unit

Relative to the most stable structure, the computed energies are arrangement a 0.0; arrangement b 5.3, all in kJ/mol of atoms.

Arrangement a

Crystalline TaGaOF2 at its relaxed geometry, computed with GGA-PBEsol.

abc: 3.927 4.232 4.232
angles: 90.00 90.00 90.00
Positions (direct):
Ta (0.000, 0.000, 0.000)
O (0.500, 0.000, 0.000)
F (0.000, 0.500, 0.000)
F (0.000, 0.000, 0.500)
Ga (0.500, 0.500, 0.500)

Summary:
Mass density ... 7.2 g cm⁻³
Space-group type ... P4/mmm
Magnetic moment ... 0.00 μB per formula unit

Arrangement b

Crystalline TaGaOF2 at its relaxed geometry, computed with GGA-PBEsol.

abc: 3.465 4.339 4.339
angles: 90.00 90.00 90.00
Positions (direct):
F (0.000, 0.000, 0.500)
F (0.000, 0.500, 0.000)
Ga (0.000, 0.000, 0.000)
Ta (0.500, 0.500, 0.500)
O (0.500, 0.000, 0.000)

Summary:
Mass density ... 7.8 g cm⁻³
Space-group type ... P4/mmm
Magnetic moment ... 2.76 μB per formula unit

Relative to the most stable structure, the computed energies are arrangement a 0.0; arrangement b 112.3, all in kJ/mol of atoms.